A relaxed structure of Dy3Tm12Pu. Source: Alexandria, functional PBE.

Results
**Size of the total moment**: 6.27 μB per cell
**E_tot**: -81.10 eV/cell
**ΔH_f (0 K)**: 43 meV per atom

Cell lengths 4.9391, 4.9391, 19.7049 Å; angles 90.00, 90.00, 90.00 degrees
Space group P4/mmm (No. 123)
Symmetry-distinct sites (fractional):
Dy: 0.0000 0.0000 0.0000 [1 per cell]
Dy: 0.0000 0.0000 0.2524 [2 per cell]
Tm: 0.0000 0.5000 0.1262 [4 per cell]
Tm: 0.0000 0.5000 0.3784 [4 per cell]
Tm: 0.5000 0.5000 0.0000 [1 per cell]
Tm: 0.5000 0.5000 0.2513 [2 per cell]
Tm: 0.5000 0.5000 0.5000 [1 per cell]
Pu: 0.0000 0.0000 0.5000 [1 per cell]